## BaO2 (GGA-PBEsol)

Data for crystalline BaO2 at its relaxed geometry.

Geometry as POSCAR:
```
BaO2
1.0
3.8037 0.0000 0.0000
-1.9018 3.9021 0.0121
0.0000 1.8436 3.3270
O Ba
2 1
Direct
0.6087 0.2175 0.3913
0.3913 0.7825 0.6087
0.0000 0.0000 0.0000
```

Values from the calculation:
uncorrected formation energy: -1.879 eV per atom
D(E_F): 0.000 states/eV per cell